1.
A relaxed structure of Li3ZnIn. Source: the Alexandria database, functional GGA-PBE.

It has space group Pm-3m (No. 221), with a = 5.159 Å, b = 5.159 Å, c = 5.159 Å, α = 90.00°, β = 90.00° and γ = 90.00°. Symmetry generates all atoms from Li at (0.000, 0.000, 0.500), Zn at (0.500, 0.500, 0.500) and In at (0.000, 0.000, 0.000).

For the magnetic moment, the calculation gives 0.00 Bohr magnetons per cell. The energy comes out at -1.6133 eV per atom. The calculation puts the energy of formation at 1.69 eV per formula unit. The energy above the most stable polymorph in this dataset is 0.507 eV/atom. The value obtained for the density of states at the Fermi level is 0.863 states/eV/atom.



2.
A relaxed structure of Li4ZnIn3. Source: the Alexandria database, functional GGA-PBE.

It has space group C2/m (No. 12), with a = 6.550 Å, b = 6.551 Å, c = 7.580 Å, α = 90.00°, β = 115.50° and γ = 90.00°. Symmetry generates all atoms from Li at (0.132, 0.250, 0.264), Zn at (0.000, 0.000, 0.500), In at (0.000, 0.500, 0.500) and In at (0.248, 0.000, 0.997).

For the magnetic moment, the calculation gives 0.00 Bohr magnetons per cell. The energy comes out at -2.3929 eV per atom. The calculation puts the energy of formation at -2.00 eV per formula unit. The value obtained for the density of states at the Fermi level is 0.178 states/eV/atom.



3.
A relaxed structure of Li4ZnIn7. Source: the Alexandria database, functional GGA-PBE.

It has space group P-1 (No. 2), with a = 5.120 Å, b = 6.302 Å, c = 8.664 Å, α = 106.40°, β = 93.23° and γ = 94.03°. Symmetry generates all atoms from Li at (0.216, 0.132, 0.259), Li at (0.245, 0.628, 0.229), Zn at (0.000, 0.500, 0.500), In at (0.208, 0.210, 0.943), In at (0.261, 0.015, 0.593), In at (0.273, 0.667, 0.847) and In at (0.500, 0.500, 0.500).

For the magnetic moment, the calculation gives 0.00 Bohr magnetons per cell. The energy comes out at -2.4737 eV per atom. The calculation puts the energy of formation at -1.59 eV per formula unit. The value obtained for the density of states at the Fermi level is 0.255 states/eV/atom.



4.
A relaxed structure of Li4Zn2In. Source: the Alexandria database, functional GGA-PBE.

It has space group C2/m (No. 12), with a = 7.751 Å, b = 4.505 Å, c = 6.991 Å, α = 90.00°, β = 111.63° and γ = 90.00°. Symmetry generates all atoms from Li at (0.069, 0.000, 0.210), Li at (0.221, 0.000, 0.665), Zn at (0.146, 0.500, 0.934) and In at (0.000, 0.500, 0.500).

For the magnetic moment, the calculation gives 0.00 Bohr magnetons per cell. The energy comes out at -2.0778 eV per atom. The calculation puts the energy of formation at -1.60 eV per formula unit. The energy above the most stable polymorph in this dataset is 0.000 eV/atom. The value obtained for the density of states at the Fermi level is 0.306 states/eV/atom.



5.
A relaxed structure of LiZn2In. Source: the Alexandria database, functional GGA-PBE.

It has space group F-43m (No. 216), with a = 6.519 Å, b = 6.519 Å, c = 6.519 Å, α = 90.00°, β = 90.00° and γ = 90.00°. Symmetry generates all atoms from Li at (0.000, 0.000, 0.000), Zn at (0.000, 0.000, 0.500), Zn at (0.250, 0.250, 0.250) and In at (0.250, 0.250, 0.750).

For the magnetic moment, the calculation gives 0.00 Bohr magnetons per cell. The energy comes out at -1.8819 eV per atom. The calculation puts the energy of formation at -0.33 eV per formula unit. The value obtained for the density of states at the Fermi level is 0.300 states/eV/atom.



6.
A relaxed structure of LiZnIn4. Source: the Alexandria database, functional GGA-PBE.

It has space group I4/mcm (No. 140), with a = 6.936 Å, b = 6.936 Å, c = 11.538 Å, α = 90.00°, β = 90.00° and γ = 90.00°. Symmetry generates all atoms from Li at (0.000, 0.000, 0.000), Zn at (0.000, 0.000, 0.250) and In at (0.159, 0.341, 0.135).

For the magnetic moment, the calculation gives 0.00 Bohr magnetons per cell. The energy comes out at -2.4126 eV per atom. The calculation puts the energy of formation at -0.33 eV per formula unit. The energy above the most stable polymorph in this dataset is 0.000 eV/atom. The value obtained for the density of states at the Fermi level is 0.445 states/eV/atom.



7.
A relaxed structure of Li3Zn3In2. Source: the Alexandria database, functional GGA-PBE.

It has space group C2/m (No. 12), with a = 14.933 Å, b = 4.462 Å, c = 4.414 Å, α = 90.00°, β = 106.70° and γ = 90.00°. Symmetry generates all atoms from Li at (0.000, 0.000, 0.000), Li at (0.114, 0.000, 0.614), Zn at (0.000, 0.500, 0.500), Zn at (0.107, 0.500, 0.104) and In at (0.245, 0.000, 0.245).

For the magnetic moment, the calculation gives 0.00 Bohr magnetons per cell. The energy comes out at -2.0119 eV per atom. The calculation puts the energy of formation at -1.06 eV per formula unit. The value obtained for the density of states at the Fermi level is 0.250 states/eV/atom.



8.
A relaxed structure of Li2Zn3In. Source: the Alexandria database, functional GGA-PBE.

It has space group P-1 (No. 2), with a = 4.918 Å, b = 5.249 Å, c = 8.511 Å, α = 91.22°, β = 98.68° and γ = 111.53°. Symmetry generates all atoms from Li at (0.016, 0.319, 0.111), Li at (0.275, 0.025, 0.593), Zn at (0.216, 0.488, 0.427), Zn at (0.379, 0.563, 0.732), Zn at (0.437, 0.226, 0.957) and In at (0.162, 0.895, 0.226).

For the magnetic moment, the calculation gives 0.00 Bohr magnetons per cell. The energy comes out at -1.8661 eV per atom. The calculation puts the energy of formation at -0.81 eV per formula unit. The energy above the most stable polymorph in this dataset is 0.032 eV/atom. The value obtained for the density of states at the Fermi level is 0.272 states/eV/atom.



9.
A relaxed structure of Li7Zn5In. Source: the Alexandria database, functional GGA-PBE.

It has space group Imm2 (No. 44), with a = 5.008 Å, b = 9.275 Å, c = 9.334 Å, α = 90.00°, β = 90.00° and γ = 90.00°. Symmetry generates all atoms from Li at (0.000, 0.000, 0.000), Li at (0.000, 0.000, 0.318), Li at (0.000, 0.309, 0.168), Li at (0.000, 0.344, 0.674), Li at (0.000, 0.500, 0.377), Zn at (0.000, 0.500, 0.948), Zn at (0.247, 0.247, 0.423) and In at (0.000, 0.000, 0.658).

For the magnetic moment, the calculation gives 0.00 Bohr magnetons per cell. The energy comes out at -1.8859 eV per atom. The calculation puts the energy of formation at -2.01 eV per formula unit. The value obtained for the density of states at the Fermi level is 0.335 states/eV/atom.



10.
A relaxed structure of LiZr2In. Source: the Alexandria database, functional GGA-PBE.

It has space group Imm2 (No. 44), with a = 3.264 Å, b = 5.162 Å, c = 9.909 Å, α = 90.00°, β = 90.00° and γ = 90.00°. Symmetry generates all atoms from Li at (0.000, 0.000, 0.000), Zr at (0.000, 0.000, 0.515), Zr at (0.000, 0.500, 0.755) and In at (0.000, 0.500, 0.286).

For the magnetic moment, the calculation gives 0.00 Bohr magnetons per cell. The energy comes out at -5.5047 eV per atom. The calculation puts the energy of formation at -0.27 eV per formula unit. The value obtained for the density of states at the Fermi level is 0.825 states/eV/atom.



11.
A relaxed structure of LiZr2In. Source: the Alexandria database, functional GGA-PBE.

It has space group R-3m (No. 166, hexagonal axes), with a = 3.0938 Å, b = 3.0938 Å, c = 32.5522 Å, α = 90.00°, β = 90.00° and γ = 120.00°. Symmetry generates all atoms from Li at (0.0000, 0.0000, 0.0000), Zr at (0.0000, 0.0000, 0.2478) and In at (0.0000, 0.0000, 0.5000).

For the magnetic moment, the calculation gives 0.00 Bohr magnetons per cell. The energy comes out at -5.3439 eV per atom. The calculation puts the energy of formation at 0.37 eV per formula unit. The value obtained for the density of states at the Fermi level is 1.365 states/eV/atom.



12.
A relaxed structure of LiZrIn2. Source: the Alexandria database, functional GGA-PBE.

It has space group P4/mmm (No. 123), with a = 5.150 Å, b = 5.150 Å, c = 3.271 Å, α = 90.00°, β = 90.00° and γ = 90.00°. Symmetry generates all atoms from Li at (0.000, 0.000, 0.000), Zr at (0.500, 0.500, 0.000) and In at (0.000, 0.500, 0.500).

For the magnetic moment, the calculation gives 0.00 Bohr magnetons per cell. The energy comes out at -4.2577 eV per atom. The calculation puts the energy of formation at -1.09 eV per formula unit. The value obtained for the density of states at the Fermi level is 0.615 states/eV/atom.



13.
A relaxed structure of LiZrIn2. Source: the Alexandria database, functional GGA-PBE.

It has space group Pmm2 (No. 25), with a = 3.266 Å, b = 4.508 Å, c = 6.114 Å, α = 90.00°, β = 90.00° and γ = 90.00°. Symmetry generates all atoms from Li at (0.000, 0.000, 0.000), Zr at (0.500, 0.500, 0.282), In at (0.000, 0.000, 0.477) and In at (0.500, 0.500, 0.789).

For the magnetic moment, the calculation gives 0.00 Bohr magnetons per cell. The energy comes out at -4.0568 eV per atom. The calculation puts the energy of formation at -0.29 eV per formula unit. The value obtained for the density of states at the Fermi level is 0.796 states/eV/atom.



14.
A relaxed structure of LiZrIn2. Source: the Alexandria database, functional GGA-PBE.

It has space group R-3m (No. 166, hexagonal axes), with a = 3.2078 Å, b = 3.2078 Å, c = 29.7908 Å, α = 90.00°, β = 90.00° and γ = 120.00°. Symmetry generates all atoms from Li at (0.0000, 0.0000, 0.0000), Zr at (0.0000, 0.0000, 0.5000) and In at (0.0000, 0.0000, 0.2533).

For the magnetic moment, the calculation gives 0.00 Bohr magnetons per cell. The energy comes out at -4.1359 eV per atom. The calculation puts the energy of formation at -0.60 eV per formula unit. The value obtained for the density of states at the Fermi level is 0.679 states/eV/atom.



15.
A relaxed structure of LiZr2In. Source: the Alexandria database, functional GGA-PBE.

It has space group F-43m (No. 216), with a = 7.067 Å, b = 7.067 Å, c = 7.067 Å, α = 90.00°, β = 90.00° and γ = 90.00°. Symmetry generates all atoms from Li at (0.000, 0.000, 0.000), Zr at (0.000, 0.000, 0.500), Zr at (0.250, 0.250, 0.250) and In at (0.250, 0.250, 0.750).

For the magnetic moment, the calculation gives 13.62 Bohr magnetons per cell. The energy comes out at -5.3058 eV per atom. The calculation puts the energy of formation at 0.53 eV per formula unit. The value obtained for the density of states at the Fermi level is 0.599 states/eV/atom.



16.
A relaxed structure of LiZrIn2. Source: the Alexandria database, functional GGA-PBE.

It has space group P4/mmm (No. 123), with a = 4.442 Å, b = 4.442 Å, c = 4.212 Å, α = 90.00°, β = 90.00° and γ = 90.00°. Symmetry generates all atoms from Li at (0.000, 0.000, 0.000), Zr at (0.500, 0.500, 0.000) and In at (0.000, 0.500, 0.500).

For the magnetic moment, the calculation gives 0.00 Bohr magnetons per cell. The energy comes out at -4.2872 eV per atom. The calculation puts the energy of formation at -1.21 eV per formula unit. The value obtained for the density of states at the Fermi level is 0.460 states/eV/atom.



17.
A relaxed structure of LiZr2In6. Source: the Alexandria database, functional GGA-PBE.

It has space group Amm2 (No. 38), with a = 3.474 Å, b = 14.460 Å, c = 8.290 Å, α = 90.00°, β = 90.00° and γ = 90.00°. Symmetry generates all atoms from Li at (0.000, 0.000, 0.000), Zr at (0.500, 0.165, 0.507), In at (0.000, 0.000, 0.621), In at (0.000, 0.192, 0.198), In at (0.500, 0.000, 0.266) and In at (0.500, 0.134, 0.876).

For the magnetic moment, the calculation gives 0.00 Bohr magnetons per cell. The energy comes out at -4.0086 eV per atom. The calculation puts the energy of formation at -0.64 eV per formula unit. The value obtained for the density of states at the Fermi level is 0.520 states/eV/atom.



18.
A relaxed structure of LiZrIn2. Source: the Alexandria database, functional GGA-PBE.

It has space group Pmmm (No. 47), with a = 3.080 Å, b = 4.180 Å, c = 6.572 Å, α = 90.00°, β = 90.00° and γ = 90.00°. Symmetry generates all atoms from Li at (0.000, 0.000, 0.000), Zr at (0.000, 0.000, 0.500) and In at (0.500, 0.500, 0.234).

For the magnetic moment, the calculation gives 0.00 Bohr magnetons per cell. The energy comes out at -4.2240 eV per atom. The calculation puts the energy of formation at -0.96 eV per formula unit. The value obtained for the density of states at the Fermi level is 0.770 states/eV/atom.



19.
A relaxed structure of LiZrIn2. Source: the Alexandria database, functional GGA-PBE.

It has space group P4/mmm (No. 123), with a = 3.309 Å, b = 3.309 Å, c = 7.431 Å, α = 90.00°, β = 90.00° and γ = 90.00°. Symmetry generates all atoms from Li at (0.000, 0.000, 0.000), Zr at (0.000, 0.000, 0.500) and In at (0.500, 0.500, 0.221).

For the magnetic moment, the calculation gives 0.00 Bohr magnetons per cell. The energy comes out at -4.2893 eV per atom. The calculation puts the energy of formation at -1.22 eV per formula unit. The value obtained for the density of states at the Fermi level is 0.763 states/eV/atom.



20.
A relaxed structure of LiZr2In. Source: the Alexandria database, functional GGA-PBE.

It has space group Pm (No. 6), with a = 3.196 Å, b = 4.488 Å, c = 6.179 Å, α = 90.00°, β = 104.94° and γ = 90.00°. Symmetry generates all atoms from Li at (0.000, 0.000, 0.000), Zr at (0.247, 0.000, 0.503), Zr at (0.611, 0.500, 0.231) and In at (0.868, 0.500, 0.751).

For the magnetic moment, the calculation gives 0.00 Bohr magnetons per cell. The energy comes out at -5.5066 eV per atom. The calculation puts the energy of formation at -0.28 eV per formula unit. The value obtained for the density of states at the Fermi level is 1.281 states/eV/atom.